No. 1
! PmHg3Pb3 | Alexandria via LeMat-Bulk | PBE-GGA | relaxed; values from VASP
! space group	No. 223
! E_form	428	meV/atom
! total magnetic moment	0.00	μB/f.u.
&SYSTEM
  ibrav = 0, nat = 14, ntyp = 3
/
ATOMIC_SPECIES
Pb 207.20 Pb.upf
Hg 200.59 Hg.upf
Pm 145.00 Pm.upf
ATOMIC_POSITIONS crystal
Pb 0.0000 0.2500 0.5000
Pb 0.0000 0.7500 0.5000
Pb 0.5000 0.0000 0.7500
Pb 0.7500 0.5000 0.0000
Pb 0.5000 0.0000 0.2500
Pb 0.2500 0.5000 0.0000
Hg 0.2500 0.0000 0.5000
Hg 0.0000 0.5000 0.2500
Hg 0.5000 0.7500 0.0000
Hg 0.7500 0.0000 0.5000
Hg 0.0000 0.5000 0.7500
Hg 0.5000 0.2500 0.0000
Pm 0.5000 0.5000 0.5000
Pm 0.0000 0.0000 0.0000
CELL_PARAMETERS angstrom
8.1077 0.0000 0.0000
0.0000 8.1077 0.0000
0.0000 0.0000 8.1077

No. 2
! AcZnH8Ru2 | Alexandria via LeMat-Bulk | PBE-GGA | relaxed; values from VASP
! space group	No. 164
! calculated total energy	-4.1768	eV/atom
! total magnetic moment	0.00	μB/f.u.
&SYSTEM
  ibrav = 0, nat = 12, ntyp = 4
/
ATOMIC_SPECIES
Ac 227.00 Ac.upf
Zn 65.41 Zn.upf
H 1.01 H.upf
Ru 101.07 Ru.upf
ATOMIC_POSITIONS crystal
Ac 0.0000 0.0000 0.5000
Zn 0.0000 0.0000 0.0000
H 0.1431 0.2863 0.7994
H 0.1431 0.8569 0.7994
H 0.7137 0.8569 0.7994
H 0.2863 0.1431 0.2006
H 0.6667 0.3333 0.3877
H 0.3333 0.6667 0.6123
H 0.8569 0.7137 0.2006
H 0.8569 0.1431 0.2006
Ru 0.3333 0.6667 0.8531
Ru 0.6667 0.3333 0.1469
CELL_PARAMETERS angstrom
-2.4271 3.4151 2.2133
1.1869 -3.9526 2.3283
5.8961 2.9227 1.9560